No. 1
# Nd3Zn4Cu2

A relaxed Nd3Zn4Cu2 crystal (GGA-PBE, the Alexandria database).

Structure (POSCAR):
```
Nd3Zn4Cu2
1.0
-0.708 4.174 1.488
-4.743 0.429 3.307
2.335 -0.106 8.177
Nd Zn Cu
3 4 2
direct
0.327 0.689 0.657
0.000 0.000 0.000
0.673 0.311 0.343
0.275 0.388 0.062
0.725 0.612 0.938
0.041 0.293 0.626
0.959 0.707 0.374
0.400 0.932 0.269
0.600 0.068 0.731
```

Formation enthalpy at 0 K in eV per atom: -0.29
Space group: C2/m, No. 12
E above lowest polymorph in eV per atom: 0.0000
VASP energy in eV/atom: -3.355

No. 2
# Nd6ZnCu2

A relaxed Nd6ZnCu2 crystal (GGA-PBE, the Alexandria database).

Structure (POSCAR):
```
Nd6ZnCu2
1.0
-4.220 6.857 -3.277
1.539 -6.012 -6.086
-4.884 -3.695 6.168
Nd Zn Cu
12 2 4
direct
0.552 0.729 0.823
0.448 0.271 0.177
0.094 0.271 0.823
0.906 0.729 0.177
0.810 0.752 0.562
0.190 0.248 0.438
0.190 0.752 0.942
0.810 0.248 0.058
0.700 0.376 0.676
0.300 0.624 0.324
0.300 0.976 0.676
0.700 0.024 0.324
0.000 0.500 0.500
0.000 0.000 0.000
0.500 0.381 0.881
0.500 0.619 0.119
0.650 0.000 0.650
0.350 0.000 0.350
```

Formation enthalpy at 0 K in eV per atom: -0.11
Space group: Immm, No. 71
VASP energy in eV/atom: -4.342

No. 3
# Nd2Zn5Cu

A relaxed Nd2Zn5Cu crystal (GGA-PBE, the Alexandria database).

Structure (POSCAR):
```
Nd2Zn5Cu
1.0
-2.130 -2.170 -3.147
8.026 0.395 -2.662
1.746 -7.695 4.123
Nd Zn Cu
4 10 2
direct
0.801 0.601 0.750
0.199 0.399 0.250
0.000 0.000 0.000
0.000 0.000 0.500
0.186 0.373 0.893
0.814 0.627 0.107
0.186 0.373 0.607
0.814 0.627 0.393
0.352 0.703 0.977
0.648 0.297 0.023
0.352 0.703 0.523
0.648 0.297 0.477
0.596 0.192 0.750
0.404 0.808 0.250
0.444 0.889 0.750
0.556 0.111 0.250
```

Formation enthalpy at 0 K in eV per atom: -0.29
Space group: Cmcm, No. 63
VASP energy in eV/atom: -2.791